[1]
! BeTcN2O PBE relaxed; values from VASP
&SYSTEM
  ibrav = 0, nat = 5, ntyp = 4
/
ATOMIC_SPECIES
Be 9.01 Be.upf
Tc 98.00 Tc.upf
N 14.01 N.upf
O 16.00 O.upf
ATOMIC_POSITIONS angstrom
Be 0.000 0.000 0.000
Tc 1.748 1.748 1.684
N 0.000 1.748 0.000
N 1.748 0.000 0.000
O 0.000 0.000 1.684
CELL_PARAMETERS angstrom
3.496 0.000 0.000
0.000 3.496 0.000
0.000 0.000 3.368
! - crystal system = tetragonal
! - space-group type = P4/mmm

[2]
! BeTcN2O PBE relaxed; values from VASP
&SYSTEM
  ibrav = 0, nat = 5, ntyp = 4
/
ATOMIC_SPECIES
Be 9.01 Be.upf
Tc 98.00 Tc.upf
N 14.01 N.upf
O 16.00 O.upf
ATOMIC_POSITIONS angstrom
Be 0.000 0.000 0.000
Tc 1.945 1.945 1.891
N 0.000 1.945 1.891
N 1.945 0.000 1.891
O 1.945 1.945 0.000
CELL_PARAMETERS angstrom
3.890 0.000 0.000
0.000 3.890 0.000
0.000 0.000 3.783
! - crystal system = tetragonal
! - space-group type = P4/mmm

[3]
! Be2TeNO PBE relaxed; values from VASP
&SYSTEM
  ibrav = 0, nat = 5, ntyp = 4
/
ATOMIC_SPECIES
Be 9.01 Be.upf
Te 127.60 Te.upf
N 14.01 N.upf
O 16.00 O.upf
ATOMIC_POSITIONS angstrom
Be 0.000 1.614 0.000
Be 1.614 0.000 0.000
Te 0.000 0.000 3.200
N 1.614 1.614 3.200
O 1.614 1.614 0.000
CELL_PARAMETERS angstrom
3.228 0.000 0.000
0.000 3.228 0.000
0.000 0.000 6.399
! - crystal system = tetragonal
! - space-group type = P4/mmm

[4]
! BeTeNO2 PBE relaxed; values from VASP
&SYSTEM
  ibrav = 0, nat = 5, ntyp = 4
/
ATOMIC_SPECIES
Be 9.01 Be.upf
Te 127.60 Te.upf
N 14.01 N.upf
O 16.00 O.upf
ATOMIC_POSITIONS angstrom
Be 0.000 0.000 0.000
Te 1.766 1.766 1.858
N 0.000 0.000 1.858
O 0.000 1.766 0.000
O 1.766 0.000 0.000
CELL_PARAMETERS angstrom
3.532 0.000 0.000
0.000 3.532 0.000
0.000 0.000 3.717
! - crystal system = tetragonal
! - space-group type = P4/mmm

| no. | spin magnetization (μB/f.u.) | E_form (uncorrected) (eV per atom) |
| --- | --- | --- |
| 1 | 1.12 | 0.620 |
| 2 | 0.00 | 0.614 |
| 3 | 0.00 | -0.035 |
| 4 | 0.00 | -0.121 |